1.
Below is an optimized crystal structure of Zr3InBi, with properties calculated at the GGA-PBEsol level.

Structure (CIF):
```
data_Zr3InBi
_chemical_formula_sum 'Zr3 In1 Bi1'
_symmetry_space_group_name_H-M 'P m -3 m'
_symmetry_Int_Tables_number 221
_symmetry_space_group_name_Hall '-P 4 2 3'
_cell_length_a 5.309
_cell_length_b 5.309
_cell_length_c 5.309
_cell_angle_alpha 90.00
_cell_angle_beta 90.00
_cell_angle_gamma 90.00
loop_
_atom_site_label
_atom_site_fract_x
_atom_site_fract_y
_atom_site_fract_z
Zr1 0.000 0.000 0.500
In1 0.500 0.500 0.500
Bi1 0.000 0.000 0.000
```

Results
Size of the total moment in μB/f.u.: 0.001
Crystal system: cubic
DFT total energy in eV per atom: -6.017

=====

2.
Below is an optimized crystal structure of Ag2AsSe, with properties calculated at the GGA-PBEsol level.

Structure (CIF):
```
data_Ag2AsSe
_chemical_formula_sum 'Ag2 As1 Se1'
_symmetry_space_group_name_H-M 'P 4 m m'
_symmetry_Int_Tables_number 99
_cell_length_a 2.800
_cell_length_b 2.800
_cell_length_c 9.476
_cell_angle_alpha 90.00
_cell_angle_beta 90.00
_cell_angle_gamma 90.00
loop_
_symmetry_equiv_pos_as_xyz
'x,y,z'
'-y,x,z'
'-x,-y,z'
'y,-x,z'
'-x,y,z'
'y,x,z'
'x,-y,z'
'-y,-x,z'
loop_
_atom_site_label
_atom_site_fract_x
_atom_site_fract_y
_atom_site_fract_z
Ag1 0.000 0.000 0.000
Ag2 0.500 0.500 0.224
As1 0.000 0.000 0.446
Se1 0.500 0.500 0.767
```

Results
Size of the total moment in μB/f.u.: 0.000
Crystal system: tetragonal
Uncorrected formation energy in eV/atom: 0.142

=====

3.
Below is an optimized crystal structure of LuAl10Re2, with properties calculated at the GGA-PBEsol level.

Structure (CIF):
```
data_LuAl10Re2
_chemical_formula_sum 'Lu12 Al120 Re24'
_symmetry_space_group_name_H-M 'C m c m'
_symmetry_Int_Tables_number 63
_symmetry_space_group_name_Hall '-C 2c 2'
_cell_length_a 9.219
_cell_length_b 10.242
_cell_length_c 26.699
_cell_angle_alpha 90.00
_cell_angle_beta 90.00
_cell_angle_gamma 90.00
loop_
_atom_site_label
_atom_site_fract_x
_atom_site_fract_y
_atom_site_fract_z
Lu1 0.000 0.117 0.250
Lu2 0.000 0.375 0.085
Al1 0.000 0.098 0.134
Al2 0.000 0.123 0.022
Al3 0.000 0.130 0.678
Al4 0.000 0.335 0.534
Al5 0.000 0.376 0.645
Al6 0.000 0.407 0.200
Al7 0.150 0.387 0.750
Al8 0.152 0.122 0.581
Al9 0.204 0.500 0.000
Al10 0.208 0.110 0.750
Al11 0.219 0.247 0.171
Al12 0.248 0.129 0.083
Re1 0.248 0.003 0.663
Re2 0.250 0.250 0.000
```

Results
Size of the total moment in μB/f.u.: 0.000
Crystal system: orthorhombic
DFT total energy in eV per atom: -5.907

=====

4.
Below is an optimized crystal structure of Sc5Ta, with properties calculated at the GGA-PBEsol level.

Structure (CIF):
```
data_Sc5Ta
_chemical_formula_sum 'Sc10 Ta2'
_symmetry_space_group_name_H-M 'C 1 m 1'
_symmetry_Int_Tables_number 8
_cell_length_a 11.545
_cell_length_b 3.142
_cell_length_c 7.452
_cell_angle_alpha 90.00
_cell_angle_beta 103.15
_cell_angle_gamma 90.00
loop_
_symmetry_equiv_pos_as_xyz
'x,y,z'
'x,-y,z'
'x+1/2,y+1/2,z'
'x+1/2,-y+1/2,z'
loop_
_atom_site_label
_atom_site_fract_x
_atom_site_fract_y
_atom_site_fract_z
Sc1 0.000 0.000 0.000
Sc2 0.054 0.000 0.593
Sc3 0.174 0.500 0.320
Sc4 0.237 0.500 0.950
Sc5 0.337 0.000 0.646
Ta1 0.393 0.000 0.273
```

Results
Relative energy among the computed polymorphs in meV per atom: 5
Size of the total moment in μB/f.u.: 0.010
Crystal system: monoclinic